[1]
Material: CdAg5
Method: DFT, PBE
State: relaxed

Cell: 6.745 6.745 4.130 Å, 90.00 90.00 144.18°
Fractional coordinates of all 6 atoms:
1 Cd 0.000 0.000 0.000
2 Ag 0.169 0.831 0.500
3 Ag 0.333 0.667 0.000
4 Ag 0.500 0.500 0.500
5 Ag 0.667 0.333 0.000
6 Ag 0.831 0.169 0.500

Summary:
As for the total magnetic moment: 0.00 μB per cell. The energy above the most stable polymorph in this dataset comes out at 11 meV/atom. The calculation puts the theoretical density at 9.84 g/cm3. The space group is Cmmm (65). The formation energy is -0.009 eV/atom.



[2]
Material: CdAg2
Method: DFT, PBE
State: relaxed

Cell: 5.217 5.217 5.217 Å, 145.30 135.13 57.94°
Fractional coordinates of all 3 atoms:
1 Cd 0.000 0.000 0.000
2 Ag 0.332 0.332 0.000
3 Ag 0.668 0.668 0.000

Summary:
As for the total magnetic moment: 0.00 μB per cell. The energy above the most stable polymorph in this dataset comes out at 2 meV/atom. The calculation puts the theoretical density at 9.63 g/cm3. The space group is Immm (71). The formation energy is -0.039 eV/atom.



[3]
Material: Cd2Ag
Method: DFT, PBE
State: relaxed

Cell: 8.933 8.933 8.933 Å, 60.00 60.00 60.00°
Fractional coordinates of all 24 atoms:
1 Cd 0.000 0.000 0.000
2 Cd 0.000 0.000 0.500
3 Cd 0.000 0.500 0.000
4 Cd 0.190 0.190 0.560
5 Cd 0.190 0.560 0.190
6 Cd 0.190 0.560 0.560
7 Cd 0.440 0.440 0.810
8 Cd 0.440 0.810 0.440
9 Cd 0.440 0.810 0.810
10 Cd 0.500 0.000 0.000
11 Cd 0.560 0.190 0.190
12 Cd 0.560 0.190 0.560
13 Cd 0.560 0.560 0.190
14 Cd 0.810 0.440 0.440
15 Cd 0.810 0.440 0.810
16 Cd 0.810 0.810 0.440
17 Ag 0.146 0.785 0.785
18 Ag 0.215 0.215 0.215
19 Ag 0.215 0.215 0.854
20 Ag 0.215 0.854 0.215
21 Ag 0.785 0.146 0.785
22 Ag 0.785 0.785 0.146
23 Ag 0.785 0.785 0.785
24 Ag 0.854 0.215 0.215

Summary:
As for the total magnetic moment: 0.00 μB per cell. The energy above the most stable polymorph in this dataset comes out at 36 meV/atom. The calculation puts the theoretical density at 8.77 g/cm3. The space group is Fd-3m (227). The formation energy is -0.019 eV/atom.



[4]
Material: Cd7Ag3
Method: DFT, PBE
State: relaxed

Cell: 8.002 8.002 6.237 Å, 100.04 100.04 31.31°
Fractional coordinates of all 10 atoms:
1 Cd 0.000 0.000 0.000
2 Cd 0.201 0.201 0.609
3 Cd 0.397 0.397 0.194
4 Cd 0.401 0.401 0.697
5 Cd 0.599 0.599 0.303
6 Cd 0.603 0.603 0.806
7 Cd 0.799 0.799 0.391
8 Ag 0.000 0.000 0.500
9 Ag 0.200 0.200 0.102
10 Ag 0.800 0.800 0.898

Summary:
As for the total magnetic moment: 0.00 μB per cell. The energy above the most stable polymorph in this dataset comes out at 0 meV/atom. The calculation puts the theoretical density at 9.03 g/cm3. The space group is C2/m (12). The formation energy is -0.014 eV/atom.



[5]
Material: Cd2Ag7
Method: DFT, PBE
State: relaxed

Cell: 5.155 5.155 7.237 Å, 90.00 90.00 120.00°
Fractional coordinates of all 9 atoms:
1 Cd 0.333 0.667 0.000
2 Cd 0.667 0.333 0.000
3 Ag 0.000 0.000 0.000
4 Ag 0.000 0.333 0.664
5 Ag 0.000 0.667 0.336
6 Ag 0.333 0.000 0.664
7 Ag 0.333 0.333 0.336
8 Ag 0.667 0.000 0.336
9 Ag 0.667 0.667 0.664

Summary:
As for the total magnetic moment: 0.00 μB per cell. The energy above the most stable polymorph in this dataset comes out at 0 meV/atom. The calculation puts the theoretical density at 9.77 g/cm3. The space group is P-31m (162). The formation energy is -0.005 eV/atom.



[6]
Material: Cd5Ag
Method: DFT, PBE
State: relaxed

Cell: 3.162 3.162 12.930 Å, 90.00 90.00 90.00°
Fractional coordinates of all 6 atoms:
1 Cd 0.000 0.000 0.000
2 Cd 0.000 0.000 0.346
3 Cd 0.000 0.000 0.654
4 Cd 0.500 0.500 0.172
5 Cd 0.500 0.500 0.828
6 Ag 0.500 0.500 0.500

Summary:
As for the total magnetic moment: 0.00 μB per cell. The calculation puts the theoretical density at 8.60 g/cm3. The space group is P4/mmm (123). The formation energy is 0.012 eV/atom.



[7]
Material: Cd2Ag
Method: DFT, PBE
State: relaxed

Cell: 6.718 6.718 6.718 Å, 153.40 153.40 37.97°
Fractional coordinates of all 3 atoms:
1 Cd 0.161 0.161 0.000
2 Cd 0.839 0.839 0.000
3 Ag 0.500 0.500 0.000

Summary:
As for the total magnetic moment: 0.00 μB per cell. The energy above the most stable polymorph in this dataset comes out at 33 meV/atom. The calculation puts the theoretical density at 9.10 g/cm3. The space group is I4/mmm (139). The formation energy is -0.022 eV/atom.



[8]
Material: CdAg
Method: DFT, PBE
State: relaxed

Cell: 3.387 3.387 3.387 Å, 90.00 90.00 90.00°
Fractional coordinates of all 2 atoms:
1 Cd 0.000 0.000 0.000
2 Ag 0.500 0.500 0.500

Summary:
As for the total magnetic moment: 0.00 μB per cell. The calculation puts the theoretical density at 9.42 g/cm3. The space group is Pm-3m (221). The formation energy is -0.057 eV/atom.



[9]
Material: CdAg
Method: DFT, PBE
State: relaxed

Cell: 5.450 5.450 7.495 Å, 109.74 109.74 34.18°
Fractional coordinates of all 6 atoms:
1 Cd 0.000 0.000 0.000
2 Cd 0.024 0.024 0.564
3 Cd 0.345 0.345 0.222
4 Ag 0.327 0.327 0.668
5 Ag 0.654 0.654 0.343
6 Ag 0.695 0.695 0.886

Summary:
As for the total magnetic moment: 0.00 μB per cell. The calculation puts the theoretical density at 9.38 g/cm3. The space group is Cm (8). The formation energy is -0.043 eV/atom.



[10]
Material: CdAg
Method: DFT, PBE
State: relaxed

Cell: 7.871 7.871 7.871 Å, 90.00 90.00 90.00°
Fractional coordinates of all 12 atoms:
1 Cd 0.000 0.250 0.500
2 Cd 0.000 0.750 0.500
3 Cd 0.250 0.500 0.000
4 Cd 0.500 0.000 0.250
5 Cd 0.500 0.000 0.750
6 Cd 0.750 0.500 0.000
7 Ag 0.000 0.500 0.250
8 Ag 0.000 0.500 0.750
9 Ag 0.250 0.000 0.500
10 Ag 0.500 0.250 0.000
11 Ag 0.500 0.750 0.000
12 Ag 0.750 0.000 0.500

Summary:
As for the total magnetic moment: 0.00 μB per cell. The calculation puts the theoretical density at 4.50 g/cm3. The space group is Pm-3n (223). The formation energy is 0.503 eV/atom.



[11]
Material: CdAg2
Method: DFT, PBE
State: relaxed

Cell: 5.139 5.139 5.737 Å, 116.82 116.82 60.72°
Fractional coordinates of all 6 atoms:
1 Cd 0.094 0.906 0.750
2 Cd 0.906 0.094 0.250
3 Ag 0.245 0.421 0.247
4 Ag 0.421 0.245 0.747
5 Ag 0.579 0.755 0.253
6 Ag 0.755 0.579 0.753

Summary:
As for the total magnetic moment: 0.00 μB per cell. The energy above the most stable polymorph in this dataset comes out at 3 meV/atom. The calculation puts the theoretical density at 9.67 g/cm3. The space group is C2/c (15). The formation energy is -0.038 eV/atom.



[12]
Material: Cd5Ag4
Method: DFT, PBE
State: relaxed

Cell: 6.773 6.773 4.242 Å, 107.56 107.56 85.26°
Fractional coordinates of all 9 atoms:
1 Cd 0.000 0.000 0.000
2 Cd 0.328 0.328 0.328
3 Cd 0.328 0.672 0.000
4 Cd 0.672 0.328 0.000
5 Cd 0.672 0.672 0.672
6 Ag 0.001 0.333 0.667
7 Ag 0.333 0.001 0.667
8 Ag 0.667 0.999 0.333
9 Ag 0.999 0.667 0.333

Summary:
As for the total magnetic moment: 0.00 μB per cell. The energy above the most stable polymorph in this dataset comes out at 0 meV/atom. The calculation puts the theoretical density at 9.33 g/cm3. The space group is C2/m (12). The formation energy is -0.040 eV/atom.



[13]
Material: Cd3Ag4
Method: DFT, PBE
State: relaxed

Cell: 5.554 5.554 5.322 Å, 90.00 90.00 120.00°
Fractional coordinates of all 7 atoms:
1 Cd 0.000 0.500 0.000
2 Cd 0.500 0.000 0.000
3 Cd 0.500 0.500 0.000
4 Ag 0.000 0.000 0.254
5 Ag 0.000 0.000 0.746
6 Ag 0.333 0.667 0.500
7 Ag 0.667 0.333 0.500

Summary:
As for the total magnetic moment: 0.00 μB per cell. The energy above the most stable polymorph in this dataset comes out at 149 meV/atom. The calculation puts the theoretical density at 8.98 g/cm3. The space group is P6/mmm (191). The formation energy is 0.103 eV/atom.



[14]
Material: Cd8Ag3
Method: DFT, PBE
State: relaxed

Cell: 6.956 6.956 6.956 Å, 109.49 109.49 109.49°
Fractional coordinates of all 11 atoms:
1 Cd 0.188 0.497 0.678
2 Cd 0.211 0.211 0.211
3 Cd 0.322 0.812 0.503
4 Cd 0.497 0.678 0.188
5 Cd 0.503 0.322 0.812
6 Cd 0.678 0.188 0.497
7 Cd 0.789 0.789 0.789
8 Cd 0.812 0.503 0.322
9 Ag 0.000 0.000 0.500
10 Ag 0.000 0.500 0.000
11 Ag 0.500 0.000 0.000

Summary:
As for the total magnetic moment: 0.00 μB per cell. The calculation puts the theoretical density at 7.84 g/cm3. The space group is R-3 (148). The formation energy is 0.091 eV/atom.



[15]
Material: Cd13Ag3
Method: DFT, PBE
State: relaxed

Cell: 6.381 7.277 7.277 Å, 83.51 90.00 90.00°
Fractional coordinates of all 16 atoms:
1 Cd 0.000 0.000 0.000
2 Cd 0.000 0.436 0.919
3 Cd 0.000 0.507 0.507
4 Cd 0.000 0.919 0.436
5 Cd 0.250 0.251 0.251
6 Cd 0.255 0.169 0.679
7 Cd 0.255 0.679 0.169
8 Cd 0.500 0.427 0.922
9 Cd 0.500 0.510 0.510
10 Cd 0.500 0.922 0.427
11 Cd 0.745 0.169 0.679
12 Cd 0.745 0.679 0.169
13 Cd 0.750 0.251 0.251
14 Ag 0.258 0.759 0.759
15 Ag 0.500 0.008 0.008
16 Ag 0.742 0.759 0.759

Summary:
As for the total magnetic moment: 0.00 μB per cell. The calculation puts the theoretical density at 8.83 g/cm3. The space group is Amm2 (38). The formation energy is -0.015 eV/atom.



[16]
Material: Cd2Ag
Method: DFT, PBE
State: relaxed

Cell: 8.190 8.190 3.162 Å, 90.00 90.00 120.00°
Fractional coordinates of all 9 atoms:
1 Cd 0.000 0.297 0.000
2 Cd 0.000 0.630 0.500
3 Cd 0.297 0.000 0.000
4 Cd 0.370 0.370 0.500
5 Cd 0.630 0.000 0.500
6 Cd 0.703 0.703 0.000
7 Ag 0.000 0.000 0.500
8 Ag 0.333 0.667 0.000
9 Ag 0.667 0.333 0.000

Summary:
As for the total magnetic moment: 0.00 μB per cell. The energy above the most stable polymorph in this dataset comes out at 30 meV/atom. The calculation puts the theoretical density at 9.02 g/cm3. The space group is P-62m (189). The formation energy is -0.025 eV/atom.



[17]
Material: Cd7Ag
Method: DFT, PBE
State: relaxed

Cell: 6.260 6.260 6.260 Å, 60.00 60.00 60.00°
Fractional coordinates of all 8 atoms:
1 Cd 0.000 0.000 0.000
2 Cd 0.000 0.000 0.500
3 Cd 0.000 0.500 0.000
4 Cd 0.000 0.500 0.500
5 Cd 0.500 0.000 0.000
6 Cd 0.500 0.000 0.500
7 Cd 0.500 0.500 0.000
8 Ag 0.500 0.500 0.500

Summary:
As for the total magnetic moment: 0.00 μB per cell. The calculation puts the theoretical density at 8.56 g/cm3. The space group is Fm-3m (225). The formation energy is -0.003 eV/atom.



[18]
Material: CdAg5
Method: DFT, PBE
State: relaxed

Cell: 5.730 5.730 6.967 Å, 103.94 103.94 29.74°
Fractional coordinates of all 6 atoms:
1 Cd 0.000 0.000 0.000
2 Ag 0.276 0.276 0.055
3 Ag 0.332 0.332 0.666
4 Ag 0.611 0.611 0.718
5 Ag 0.668 0.668 0.337
6 Ag 0.943 0.943 0.390

Summary:
As for the total magnetic moment: 0.00 μB per cell. The energy above the most stable polymorph in this dataset comes out at 11 meV/atom. The calculation puts the theoretical density at 9.85 g/cm3. The space group is Cm (8). The formation energy is -0.009 eV/atom.



[19]
Material: Cd15Ag
Method: DFT, PBE
State: relaxed

Cell: 6.128 6.128 10.712 Å, 90.00 90.00 120.00°
Fractional coordinates of all 16 atoms:
1 Cd 0.000 0.000 0.000
2 Cd 0.002 0.501 0.500
3 Cd 0.332 0.166 0.257
4 Cd 0.332 0.166 0.743
5 Cd 0.333 0.667 0.246
6 Cd 0.333 0.667 0.754
7 Cd 0.499 0.501 0.500
8 Cd 0.499 0.998 0.500
9 Cd 0.501 0.002 0.000
10 Cd 0.501 0.499 0.000
11 Cd 0.834 0.166 0.257
12 Cd 0.834 0.166 0.743
13 Cd 0.834 0.668 0.257
14 Cd 0.834 0.668 0.743
15 Cd 0.998 0.499 0.000
16 Ag 0.000 0.000 0.500

Summary:
As for the total magnetic moment: 0.00 μB per cell. The calculation puts the theoretical density at 8.55 g/cm3. The space group is P-6m2 (187). The formation energy is -0.011 eV/atom.



[20]
Material: CdAg3
Method: DFT, PBE
State: relaxed

Cell: 9.755 9.755 9.755 Å, 17.71 17.71 17.71°
Fractional coordinates of all 4 atoms:
1 Cd 0.000 0.000 0.000
2 Ag 0.248 0.248 0.248
3 Ag 0.500 0.500 0.500
4 Ag 0.752 0.752 0.752

Summary:
As for the total magnetic moment: 0.00 μB per cell. The calculation puts the theoretical density at 9.66 g/cm3. The space group is R-3m (166). The formation energy is -0.001 eV/atom.



[21]
Material: Cd2Ag
Method: DFT, PBE
State: relaxed

Cell: 13.594 13.594 13.594 Å, 161.91 161.91 25.69°
Fractional coordinates of all 12 atoms:
1 Cd 0.125 0.375 0.750
2 Cd 0.290 0.540 0.750
3 Cd 0.375 0.125 0.250
4 Cd 0.460 0.710 0.750
5 Cd 0.540 0.290 0.250
6 Cd 0.625 0.875 0.750
7 Cd 0.710 0.460 0.250
8 Cd 0.875 0.625 0.250
9 Ag 0.042 0.792 0.250
10 Ag 0.208 0.958 0.250
11 Ag 0.792 0.042 0.750
12 Ag 0.958 0.208 0.750

Summary:
As for the total magnetic moment: 0.00 μB per cell. The energy above the most stable polymorph in this dataset comes out at 36 meV/atom. The calculation puts the theoretical density at 9.12 g/cm3. The space group is I4_1/amd (141). The formation energy is -0.019 eV/atom.



[22]
Material: Cd2Ag5
Method: DFT, PBE
State: relaxed

Cell: 7.150 7.150 7.776 Å, 93.44 93.44 41.19°
Fractional coordinates of all 14 atoms:
1 Cd 0.103 0.746 0.894
2 Cd 0.254 0.897 0.606
3 Cd 0.746 0.103 0.394
4 Cd 0.897 0.254 0.106
5 Ag 0.036 0.392 0.819
6 Ag 0.180 0.531 0.535
7 Ag 0.325 0.675 0.250
8 Ag 0.392 0.036 0.319
9 Ag 0.469 0.820 0.965
10 Ag 0.531 0.180 0.035
11 Ag 0.608 0.964 0.681
12 Ag 0.675 0.325 0.750
13 Ag 0.820 0.469 0.465
14 Ag 0.964 0.608 0.181

Summary:
As for the total magnetic moment: 0.00 μB per cell. The calculation puts the theoretical density at 9.71 g/cm3. The space group is C2/c (15). The formation energy is -0.037 eV/atom.



[23]
Material: CdAg2
Method: DFT, PBE
State: relaxed

Cell: 6.601 6.601 6.601 Å, 90.00 90.00 90.00°
Fractional coordinates of all 12 atoms:
1 Cd 0.000 0.000 0.000
2 Cd 0.000 0.500 0.500
3 Cd 0.500 0.000 0.500
4 Cd 0.500 0.500 0.000
5 Ag 0.122 0.622 0.878
6 Ag 0.122 0.878 0.378
7 Ag 0.378 0.122 0.878
8 Ag 0.378 0.378 0.378
9 Ag 0.622 0.622 0.622
10 Ag 0.622 0.878 0.122
11 Ag 0.878 0.122 0.622
12 Ag 0.878 0.378 0.122

Summary:
As for the total magnetic moment: 0.00 μB per cell. The energy above the most stable polymorph in this dataset comes out at 421 meV/atom. The calculation puts the theoretical density at 7.58 g/cm3. The space group is Pa-3 (205). The formation energy is 0.380 eV/atom.